Record 1
# AcSmNpN4 PBE optimized geometry
# Total magnetic moment   0.14 μB/atom
# DOS at the Fermi energy   2.5 states/eV/cell
# Space-group type   I4mm, No. 107
# Energy relative to the elements, uncorrected   -1.178 eV/atom
data_AcSmNpN4
_chemical_formula_sum 'Ac1 Sm1 Np1 N4'
_space_group_name_H-M_alt 'P 1'
_space_group_IT_number 1
_cell_length_a 4.216
_cell_length_b 4.216
_cell_length_c 7.149
_cell_angle_alpha 107.15
_cell_angle_beta 107.15
_cell_angle_gamma 90.00
loop_
_space_group_symop_operation_xyz
'x,y,z'
loop_
_atom_site_label
_atom_site_type_symbol
_atom_site_fract_x
_atom_site_fract_y
_atom_site_fract_z
N1 N 0.992 0.492 0.984
N2 N 0.836 0.836 0.672
N3 N 0.492 0.992 0.984
N4 N 0.174 0.174 0.348
Ac1 Ac 0.651 0.651 0.302
Np1 Np 0.999 0.999 0.998
Sm1 Sm 0.356 0.356 0.712

Record 2
# PmSc2AsO8 PBE optimized geometry
# Total magnetic moment   0.15 μB/atom
# DOS at the Fermi energy   6.0 states/eV/cell
# Space-group type   P2/m, No. 10
# Energy relative to the elements, uncorrected   -2.347 eV/atom
data_PmSc2AsO8
_chemical_formula_sum 'Pm1 Sc2 As1 O8'
_space_group_name_H-M_alt 'P 1'
_space_group_IT_number 1
_cell_length_a 4.752
_cell_length_b 4.757
_cell_length_c 6.725
_cell_angle_alpha 90.00
_cell_angle_beta 90.00
_cell_angle_gamma 88.86
loop_
_space_group_symop_operation_xyz
'x,y,z'
loop_
_atom_site_label
_atom_site_type_symbol
_atom_site_fract_x
_atom_site_fract_y
_atom_site_fract_z
O1 O 0.332 0.330 0.500
O2 O 0.720 0.722 0.000
O3 O 0.811 0.190 0.199
O4 O 0.811 0.190 0.801
O5 O 0.189 0.810 0.801
O6 O 0.189 0.810 0.199
O7 O 0.280 0.278 0.000
O8 O 0.668 0.670 0.500
Sc1 Sc 0.500 0.500 0.763
Sc2 Sc 0.500 0.500 0.237
Pm1 Pm 0.000 0.000 0.500
As1 As 0.000 0.000 0.000

Record 3
# FeTcRh PBE optimized geometry
# Total magnetic moment   0.64 μB/atom
# DOS at the Fermi energy   3.4 states/eV/cell
# Energy relative to the lowest polymorph listed for this composition   0.000 eV per atom
# E_form   5 meV per atom
# Space-group type   Imm2, No. 44
data_FeTcRh
_chemical_formula_sum 'Fe1 Tc1 Rh1'
_space_group_name_H-M_alt 'P 1'
_space_group_IT_number 1
_cell_length_a 4.622
_cell_length_b 4.622
_cell_length_c 4.622
_cell_angle_alpha 146.32
_cell_angle_beta 132.07
_cell_angle_gamma 59.86
loop_
_space_group_symop_operation_xyz
'x,y,z'
loop_
_atom_site_label
_atom_site_type_symbol
_atom_site_fract_x
_atom_site_fract_y
_atom_site_fract_z
Rh1 Rh 0.335 0.335 0.000
Tc1 Tc 0.663 0.663 0.000
Fe1 Fe 0.002 0.002 0.000

Record 4
# MgTi2RhAu PBE optimized geometry
# Total magnetic moment   0.00 μB/atom
# DOS at the Fermi energy   10.0 states/eV/cell
# E_form   1187 meV per atom
# Space-group type   P4/mmm, No. 123
data_MgTi2RhAu
_chemical_formula_sum 'Mg1 Ti2 Rh1 Au1'
_space_group_name_H-M_alt 'P 1'
_space_group_IT_number 1
_cell_length_a 4.689
_cell_length_b 4.524
_cell_length_c 4.689
_cell_angle_alpha 90.00
_cell_angle_beta 90.00
_cell_angle_gamma 90.00
loop_
_space_group_symop_operation_xyz
'x,y,z'
loop_
_atom_site_label
_atom_site_type_symbol
_atom_site_fract_x
_atom_site_fract_y
_atom_site_fract_z
Mg1 Mg 0.000 0.000 0.000
Au1 Au 0.000 0.500 0.000
Rh1 Rh 0.500 0.500 0.500
Ti1 Ti 0.500 0.000 0.000
Ti2 Ti 0.000 0.000 0.500

Record 5
# TiZnO2F PBE optimized geometry
# Total magnetic moment   0.00 μB/atom
# DOS at the Fermi energy   2.3 states/eV/cell
# Space-group type   P4/mmm, No. 123
# Energy relative to the elements, uncorrected   -2.037 eV/atom
data_TiZnO2F
_chemical_formula_sum 'Ti1 Zn1 O2 F1'
_space_group_name_H-M_alt 'P 1'
_space_group_IT_number 1
_cell_length_a 3.880
_cell_length_b 3.880
_cell_length_c 3.994
_cell_angle_alpha 90.00
_cell_angle_beta 90.00
_cell_angle_gamma 90.00
loop_
_space_group_symop_operation_xyz
'x,y,z'
loop_
_atom_site_label
_atom_site_type_symbol
_atom_site_fract_x
_atom_site_fract_y
_atom_site_fract_z
Ti1 Ti 0.000 0.000 0.000
O1 O 0.000 0.500 0.000
O2 O 0.500 0.000 0.000
F1 F 0.000 0.000 0.500
Zn1 Zn 0.500 0.500 0.500

Record 6
# ErThPd2 PBE optimized geometry
# Total magnetic moment   0.00 μB/atom
# DOS at the Fermi energy   3.4 states/eV/cell
# Energy relative to the lowest polymorph listed for this composition   0.087 eV per atom
# E_form   -772 meV per atom
# Space-group type   P4/mmm, No. 123
data_ErThPd2
_chemical_formula_sum 'Er1 Th1 Pd2'
_space_group_name_H-M_alt 'P 1'
_space_group_IT_number 1
_cell_length_a 3.452
_cell_length_b 3.452
_cell_length_c 7.494
_cell_angle_alpha 90.00
_cell_angle_beta 90.00
_cell_angle_gamma 90.00
loop_
_space_group_symop_operation_xyz
'x,y,z'
loop_
_atom_site_label
_atom_site_type_symbol
_atom_site_fract_x
_atom_site_fract_y
_atom_site_fract_z
Pd1 Pd 0.000 0.000 0.226
Pd2 Pd 0.000 0.000 0.774
Th1 Th 0.500 0.500 0.500
Er1 Er 0.500 0.500 0.000

Record 7
# Cs2MnAsRh PBE optimized geometry
# Total magnetic moment   0.86 μB/atom
# DOS at the Fermi energy   19.2 states/eV/cell
# E_form   890 meV per atom
# Space-group type   P4/mmm, No. 123
data_Cs2MnAsRh
_chemical_formula_sum 'Cs2 Mn1 As1 Rh1'
_space_group_name_H-M_alt 'P 1'
_space_group_IT_number 1
_cell_length_a 6.933
_cell_length_b 4.450
_cell_length_c 6.933
_cell_angle_alpha 90.00
_cell_angle_beta 90.00
_cell_angle_gamma 90.00
loop_
_space_group_symop_operation_xyz
'x,y,z'
loop_
_atom_site_label
_atom_site_type_symbol
_atom_site_fract_x
_atom_site_fract_y
_atom_site_fract_z
As1 As 0.000 0.500 0.000
Rh1 Rh 0.500 0.500 0.500
Cs1 Cs 0.500 0.000 0.000
Cs2 Cs 0.000 0.000 0.500
Mn1 Mn 0.000 0.000 0.000

Record 8
# Mg2AgAu8 PBE optimized geometry
# Total magnetic moment   0.00 μB/atom
# DOS at the Fermi energy   3.7 states/eV/cell
# Energy relative to the lowest polymorph listed for this composition   0.077 eV per atom
# E_form   -167 meV per atom
# Space-group type   Cmmm, No. 65
data_Mg2AgAu8
_chemical_formula_sum 'Mg2 Ag1 Au8'
_space_group_name_H-M_alt 'P 1'
_space_group_IT_number 1
_cell_length_a 4.321
_cell_length_b 8.488
_cell_length_c 7.068
_cell_angle_alpha 53.10
_cell_angle_beta 90.05
_cell_angle_gamma 90.09
loop_
_space_group_symop_operation_xyz
'x,y,z'
loop_
_atom_site_label
_atom_site_type_symbol
_atom_site_fract_x
_atom_site_fract_y
_atom_site_fract_z
Ag1 Ag 0.500 0.000 0.000
Au1 Au 0.500 0.242 0.515
Au2 Au 0.001 0.306 0.735
Au3 Au 0.999 0.958 0.735
Au4 Au 0.001 0.042 0.265
Au5 Au 0.500 0.758 0.485
Au6 Au 0.501 0.336 0.000
Au7 Au 0.499 0.664 0.000
Au8 Au 0.999 0.694 0.265
Mg1 Mg 0.000 0.372 0.256
Mg2 Mg 0.000 0.628 0.744

Record 9
# PrAgSeS PBE optimized geometry
# Total magnetic moment   0.00 μB/atom
# Space-group type   R-3m, No. 166
# Energy relative to the elements, uncorrected   -1.256 eV/atom
data_PrAgSeS
_chemical_formula_sum 'Pr2 Ag2 Se2 S2'
_space_group_name_H-M_alt 'P 1'
_space_group_IT_number 1
_cell_length_a 4.576
_cell_length_b 4.576
_cell_length_c 11.515
_cell_angle_alpha 78.54
_cell_angle_beta 78.54
_cell_angle_gamma 60.00
loop_
_space_group_symop_operation_xyz
'x,y,z'
loop_
_atom_site_label
_atom_site_type_symbol
_atom_site_fract_x
_atom_site_fract_y
_atom_site_fract_z
Se1 Se 0.388 0.388 0.835
Se2 Se 0.612 0.612 0.165
Pr1 Pr 0.890 0.890 0.331
Pr2 Pr 0.110 0.110 0.669
S1 S 0.803 0.803 0.591
S2 S 0.197 0.197 0.409
Ag1 Ag 0.694 0.694 0.918
Ag2 Ag 0.306 0.306 0.082

Record 10
# PrSmHgRh PBE optimized geometry
# Total magnetic moment   0.00 μB/atom
# DOS at the Fermi energy   2.3 states/eV/cell
# E_form   -512 meV per atom
# Space-group type   F-43m, No. 216
data_PrSmHgRh
_chemical_formula_sum 'Pr1 Sm1 Hg1 Rh1'
_space_group_name_H-M_alt 'P 1'
_space_group_IT_number 1
_cell_length_a 5.209
_cell_length_b 5.209
_cell_length_c 5.209
_cell_angle_alpha 60.00
_cell_angle_beta 60.00
_cell_angle_gamma 60.00
loop_
_space_group_symop_operation_xyz
'x,y,z'
loop_
_atom_site_label
_atom_site_type_symbol
_atom_site_fract_x
_atom_site_fract_y
_atom_site_fract_z
Hg1 Hg 0.250 0.250 0.250
Rh1 Rh 0.750 0.750 0.750
Sm1 Sm 0.500 0.500 0.500
Pr1 Pr 0.000 0.000 0.000

Record 11
# ZnBO3 PBE optimized geometry
# Total magnetic moment   0.00 μB/atom
# DOS at the Fermi energy   6.3 states/eV/cell
# Space-group type   Pm-3m, No. 221
# Energy relative to the elements, uncorrected   1.021 eV/atom
data_ZnBO3
_chemical_formula_sum 'Zn1 B1 O3'
_space_group_name_H-M_alt 'P 1'
_space_group_IT_number 1
_cell_length_a 3.750
_cell_length_b 3.750
_cell_length_c 3.750
_cell_angle_alpha 90.00
_cell_angle_beta 90.00
_cell_angle_gamma 90.00
loop_
_space_group_symop_operation_xyz
'x,y,z'
loop_
_atom_site_label
_atom_site_type_symbol
_atom_site_fract_x
_atom_site_fract_y
_atom_site_fract_z
O1 O 0.500 0.000 0.000
O2 O 0.000 0.000 0.500
O3 O 0.000 0.500 0.000
Zn1 Zn 0.000 0.000 0.000
B1 B 0.500 0.500 0.500

Record 12
# CaPuMgSn PBE optimized geometry
# Total magnetic moment   1.56 μB/atom
# DOS at the Fermi energy   9.6 states/eV/cell
# E_form   -229 meV per atom
# Space-group type   F-43m, No. 216
data_CaPuMgSn
_chemical_formula_sum 'Ca1 Pu1 Mg1 Sn1'
_space_group_name_H-M_alt 'P 1'
_space_group_IT_number 1
_cell_length_a 5.398
_cell_length_b 5.398
_cell_length_c 5.398
_cell_angle_alpha 60.00
_cell_angle_beta 60.00
_cell_angle_gamma 60.00
loop_
_space_group_symop_operation_xyz
'x,y,z'
loop_
_atom_site_label
_atom_site_type_symbol
_atom_site_fract_x
_atom_site_fract_y
_atom_site_fract_z
Mg1 Mg 0.750 0.750 0.750
Pu1 Pu 0.000 0.000 0.000
Sn1 Sn 0.250 0.250 0.250
Ca1 Ca 0.500 0.500 0.500